Entry 1:
! Rb2GeSe2 (PBE, optimized geometry); values from VASP
&SYSTEM
  ibrav = 0, nat = 20, ntyp = 3
/
ATOMIC_SPECIES
Rb 85.47 Rb.upf
Ge 72.64 Ge.upf
Se 78.96 Se.upf
ATOMIC_POSITIONS angstrom
Rb -2.340 -3.474 3.219
Rb 0.665 -2.143 0.291
Rb 2.600 -8.721 8.976
Rb 5.605 -7.391 6.047
Rb -2.436 -7.999 6.519
Rb 0.762 -8.336 3.294
Rb 2.502 -2.529 5.973
Rb 5.701 -2.866 2.748
Ge 1.060 -4.385 3.333
Ge 2.204 -6.480 5.934
Ge -2.333 -2.371 6.856
Ge 5.597 -8.494 2.411
Se -2.425 -10.006 3.683
Se 0.215 -5.535 1.311
Se 3.049 -5.329 7.956
Se 5.689 -0.859 5.584
Se -0.107 -5.535 5.381
Se 2.468 -0.497 3.110
Se 0.797 -10.367 6.157
Se 3.371 -5.330 3.886
CELL_PARAMETERS angstrom
-6.112 -1.777 6.015
1.066 -9.186 -1.630
8.310 0.098 4.882
! raw total energy	-3.538	eV/atom
! magnetic moment	0.00	μB/atom
! energy relative to the lowest polymorph listed for this composition	0.000	eV per atom
! ρ	3.5	Mg/m³


Entry 2:
! Ce2ZnB3Pt12 (PBE, optimized geometry); values from VASP
&SYSTEM
  ibrav = 0, nat = 18, ntyp = 4
/
ATOMIC_SPECIES
Ce 140.12 Ce.upf
Zn 65.41 Zn.upf
B 10.81 B.upf
Pt 195.08 Pt.upf
ATOMIC_POSITIONS angstrom
Ce 8.415 4.898 3.474
Ce 5.382 3.133 2.222
Zn 0.000 0.000 0.000
B 3.637 -0.190 -0.135
B 1.631 3.256 -0.135
B 1.631 0.949 3.118
Pt 6.404 3.727 5.494
Pt 10.424 6.068 1.924
Pt 8.471 7.177 5.090
Pt 8.742 2.399 1.702
Pt 10.424 3.822 5.090
Pt 6.404 6.417 1.702
Pt 7.393 4.304 0.203
Pt 3.373 1.963 3.772
Pt 5.326 0.854 0.606
Pt 5.055 5.632 3.995
Pt 3.373 4.209 0.606
Pt 7.393 1.614 3.995
CELL_PARAMETERS angstrom
7.274 -0.380 -0.269
3.262 6.512 -0.269
3.262 1.899 6.235
! raw total energy	-6.341	eV/atom
! E_form	-471	meV/atom
! magnetic moment	0.01	μB/atom
! ρ	14.5	Mg/m³